w | Entry from Alexandria: crystalline Pm3Ho4Sc2 at its relaxed geometry (PBE-GGA).

Structure (CIF):
```
data_Pm3Ho4Sc2
_cell_length_a 6.1931
_cell_length_b 9.7328
_cell_length_c 9.7328
_cell_angle_alpha 72.83
_cell_angle_beta 87.07
_cell_angle_gamma 87.07
_symmetry_space_group_name_H-M 'P 1'
_symmetry_Int_Tables_number 1
_symmetry_space_group_name_Hall 'P 1'
loop_
_atom_site_label
_atom_site_fract_x
_atom_site_fract_y
_atom_site_fract_z
Sc1 0.4478 0.8695 0.6360
Sc2 0.5522 0.1305 0.3640
Sc3 0.0522 0.3640 0.1305
Sc4 0.9478 0.6360 0.8695
Pm1 0.9362 0.0224 0.1725
Pm2 0.7500 0.5169 0.4831
Pm3 0.4362 0.1725 0.0224
Pm4 0.0638 0.9776 0.8275
Pm5 0.2500 0.4831 0.5169
Pm6 0.5638 0.8275 0.9776
Ho1 0.4543 0.8194 0.3191
Ho2 0.0460 0.1830 0.4681
Ho3 0.4540 0.5319 0.8170
Ho4 0.0457 0.6809 0.1806
Ho5 0.5457 0.1806 0.6809
Ho6 0.9540 0.8170 0.5319
Ho7 0.9543 0.3191 0.8194
Ho8 0.5460 0.4681 0.1830
```

Output
density of states at the Fermi level	1.635	states/eV/atom
space group	C2/c
crystal system	monoclinic
M_tot	0.0	μB/f.u.

x | Entry from Alexandria: crystalline Pm3Ho4Sc2 at its relaxed geometry (PBE-GGA).

Structure (CIF):
```
data_Pm3Ho4Sc2
_cell_length_a 6.1886
_cell_length_b 9.0709
_cell_length_c 10.9883
_cell_angle_alpha 70.75
_cell_angle_beta 73.63
_cell_angle_gamma 89.90
_symmetry_space_group_name_H-M 'P 1'
_symmetry_Int_Tables_number 1
_symmetry_space_group_name_Hall 'P 1'
loop_
_atom_site_label
_atom_site_fract_x
_atom_site_fract_y
_atom_site_fract_z
Ho1 0.5035 0.0838 0.8329
Ho2 0.4965 0.9162 0.1671
Ho3 0.9434 0.1985 0.9458
Ho4 0.1698 0.7554 0.5036
Ho5 0.0566 0.8015 0.0542
Ho6 0.7224 0.4780 0.7208
Ho7 0.2776 0.5220 0.2792
Ho8 0.8302 0.2446 0.4964
Pm1 0.9372 0.0305 0.2831
Pm2 0.0628 0.9695 0.7169
Pm3 0.3862 0.3063 0.0587
Pm4 0.7224 0.6384 0.3874
Pm5 0.2776 0.3616 0.6126
Pm6 0.6138 0.6937 0.9413
Sc1 0.8326 0.4177 0.1651
Sc2 0.1674 0.5823 0.8349
Sc3 0.6011 0.8598 0.6121
Sc4 0.3989 0.1402 0.3879
```

Output
density of states at the Fermi level	1.747	states/eV/atom
space group	P-1
crystal system	triclinic
M_tot	0.0	μB/f.u.

The data favor x; the next most stable structure lies 12.3 kJ/mol of atoms above it.

w | Entry from Alexandria: crystalline Pm4Ho2Sc at its relaxed geometry (PBE-GGA).

Structure (CIF):
```
data_Pm4Ho2Sc
_cell_length_a 5.9324
_cell_length_b 6.1023
_cell_length_c 7.1214
_cell_angle_alpha 115.37
_cell_angle_beta 90.00
_cell_angle_gamma 90.00
_symmetry_space_group_name_H-M 'P 1'
_symmetry_Int_Tables_number 1
_symmetry_space_group_name_Hall 'P 1'
loop_
_atom_site_label
_atom_site_fract_x
_atom_site_fract_y
_atom_site_fract_z
Sc1 0.0000 0.5000 0.0000
Pm1 0.5000 0.6370 0.2739
Pm2 0.0000 0.1870 0.3740
Pm3 0.5000 0.3630 0.7261
Pm4 0.0000 0.8130 0.6260
Ho1 0.5000 0.1112 0.2224
Ho2 0.5000 0.8888 0.7776
```

Output
density of states at the Fermi level	1.758	states/eV/atom
space group	Cmmm
crystal system	orthorhombic
M_tot	0.0	μB/f.u.

x | Entry from Alexandria: crystalline Pm4Ho2Sc at its relaxed geometry (PBE-GGA).

Structure (CIF):
```
data_Pm4Ho2Sc
_cell_length_a 12.8261
_cell_length_b 12.8261
_cell_length_c 6.1630
_cell_angle_alpha 94.52
_cell_angle_beta 94.52
_cell_angle_gamma 152.25
_symmetry_space_group_name_H-M 'P 1'
_symmetry_Int_Tables_number 1
_symmetry_space_group_name_Hall 'P 1'
loop_
_atom_site_label
_atom_site_fract_x
_atom_site_fract_y
_atom_site_fract_z
Ho1 0.6957 0.3416 0.5003
Ho2 0.1257 0.9115 0.5002
Ho3 0.9115 0.1257 0.0002
Ho4 0.3416 0.6957 0.0003
Pm1 0.4828 0.5544 0.0000
Pm2 0.9812 0.0559 0.5002
Pm3 0.5544 0.4828 0.5000
Pm4 0.8410 0.1965 0.5003
Pm5 0.1965 0.8410 0.0003
Pm6 0.2704 0.7671 0.5003
Pm7 0.0559 0.9812 0.0002
Pm8 0.7671 0.2704 0.0003
Sc1 0.4115 0.6259 0.5001
Sc2 0.6259 0.4115 0.0001
```

Output
density of states at the Fermi level	1.411	states/eV/atom
space group	C2/c
crystal system	monoclinic
M_tot	0.0	μB/f.u.

The data favor x; the next most stable structure lies 48.2 kJ/mol of atoms above it.

w | Entry from Alexandria: crystalline Pm2Ho2Sc at its relaxed geometry (PBE-GGA).

Structure (CIF):
```
data_Pm2Ho2Sc
_cell_length_a 4.8839
_cell_length_b 6.1782
_cell_length_c 6.1782
_cell_angle_alpha 84.82
_cell_angle_beta 66.72
_cell_angle_gamma 66.72
_symmetry_space_group_name_H-M 'P 1'
_symmetry_Int_Tables_number 1
_symmetry_space_group_name_Hall 'P 1'
loop_
_atom_site_label
_atom_site_fract_x
_atom_site_fract_y
_atom_site_fract_z
Ho1 0.5000 0.2921 0.7079
Ho2 0.5000 0.7079 0.2921
Pm1 0.7927 0.7073 0.7073
Pm2 0.2073 0.2927 0.2927
Sc1 0.0000 0.0000 0.0000
```

Output
density of states at the Fermi level	1.598	states/eV/atom
space group	Immm
crystal system	orthorhombic
M_tot	0.0	μB/f.u.

x | Entry from Alexandria: crystalline Pm2Ho2Sc at its relaxed geometry (PBE-GGA).

Structure (CIF):
```
data_Pm2Ho2Sc
_cell_length_a 5.6289
_cell_length_b 3.5104
_cell_length_c 16.2220
_cell_angle_alpha 96.21
_cell_angle_beta 99.99
_cell_angle_gamma 90.00
_symmetry_space_group_name_H-M 'P 1'
_symmetry_Int_Tables_number 1
_symmetry_space_group_name_Hall 'P 1'
loop_
_atom_site_label
_atom_site_fract_x
_atom_site_fract_y
_atom_site_fract_z
Pm1 0.0634 0.8134 0.1269
Pm2 0.5440 0.2940 0.0879
Pm3 0.4560 0.7060 0.9121
Pm4 0.9366 0.1866 0.8731
Ho1 0.3658 0.1158 0.7316
Ho2 0.6342 0.8842 0.2684
Ho3 0.7303 0.9803 0.4606
Ho4 0.2697 0.0197 0.5394
Sc1 0.1763 0.4263 0.3525
Sc2 0.8237 0.5737 0.6475
```

Output
density of states at the Fermi level	1.495	states/eV/atom
space group	Imma
crystal system	orthorhombic
M_tot	0.0	μB/f.u.

The data favor x; the next most stable structure lies 2.6 kJ/mol of atoms above it.

w | Entry from Alexandria: crystalline Pm3Ho3Sc2 at its relaxed geometry (PBE-GGA).

Structure (CIF):
```
data_Pm3Ho3Sc2
_cell_length_a 4.9986
_cell_length_b 4.9666
_cell_length_c 9.8110
_cell_angle_alpha 90.00
_cell_angle_beta 90.00
_cell_angle_gamma 90.00
_symmetry_space_group_name_H-M 'P 1'
_symmetry_Int_Tables_number 1
_symmetry_space_group_name_Hall 'P 1'
loop_
_atom_site_label
_atom_site_fract_x
_atom_site_fract_y
_atom_site_fract_z
Ho1 0.5000 0.0000 0.0000
Ho2 0.5000 0.5000 0.2482
Ho3 0.5000 0.5000 0.7518
Pm1 0.0000 0.5000 0.5000
Pm2 0.5000 0.0000 0.5000
Pm3 0.0000 0.5000 0.0000
Sc1 0.0000 0.0000 0.7519
Sc2 0.0000 0.0000 0.2481
```

Output
density of states at the Fermi level	1.575	states/eV/atom
space group	Pmmm
crystal system	orthorhombic
M_tot	0.0	μB/f.u.

x | Entry from Alexandria: crystalline Pm3Ho3Sc2 at its relaxed geometry (PBE-GGA).

Structure (CIF):
```
data_Pm3Ho3Sc2
_cell_length_a 5.4689
_cell_length_b 5.6685
_cell_length_c 8.9412
_cell_angle_alpha 109.64
_cell_angle_beta 107.81
_cell_angle_gamma 90.00
_symmetry_space_group_name_H-M 'P 1'
_symmetry_Int_Tables_number 1
_symmetry_space_group_name_Hall 'P 1'
loop_
_atom_site_label
_atom_site_fract_x
_atom_site_fract_y
_atom_site_fract_z
Sc1 0.7499 0.6891 0.4998
Sc2 0.2501 0.3109 0.5002
Ho1 0.1387 0.6778 0.2774
Ho2 0.0000 0.0000 0.0000
Ho3 0.8613 0.3222 0.7226
Pm1 0.3594 0.9082 0.7188
Pm2 0.5000 0.5000 0.0000
Pm3 0.6406 0.0918 0.2812
```

Output
density of states at the Fermi level	1.644	states/eV/atom
space group	C2/m
crystal system	monoclinic
M_tot	0.0	μB/f.u.

The data favor w; the next most stable structure lies 3.6 kJ/mol of atoms above it.

w | Entry from Alexandria: crystalline TbPmHoSc at its relaxed geometry (PBE-GGA).

Structure (CIF):
```
data_TbPmHoSc
_cell_length_a 3.7709
_cell_length_b 5.6340
_cell_length_c 6.6897
_cell_angle_alpha 114.90
_cell_angle_beta 73.65
_cell_angle_gamma 90.00
_symmetry_space_group_name_H-M 'P 1'
_symmetry_Int_Tables_number 1
_symmetry_space_group_name_Hall 'P 1'
loop_
_atom_site_label
_atom_site_fract_x
_atom_site_fract_y
_atom_site_fract_z
Ho1 0.1901 0.8717 0.7433
Tb1 0.6501 0.4110 0.8220
Pm1 0.4254 0.1397 0.2793
Sc1 0.9204 0.6423 0.2846
```

Output
density of states at the Fermi level	1.725	states/eV/atom
space group	Cm
crystal system	monoclinic
M_tot	0.0	μB/f.u.

x | Entry from Alexandria: crystalline TbPmHoSc at its relaxed geometry (PBE-GGA).

Structure (CIF):
```
data_TbPmHoSc
_cell_length_a 5.5677
_cell_length_b 5.5677
_cell_length_c 5.5677
_cell_angle_alpha 60.00
_cell_angle_beta 60.00
_cell_angle_gamma 60.00
_symmetry_space_group_name_H-M 'P 1'
_symmetry_Int_Tables_number 1
_symmetry_space_group_name_Hall 'P 1'
loop_
_atom_site_label
_atom_site_fract_x
_atom_site_fract_y
_atom_site_fract_z
Ho1 0.5000 0.5000 0.5000
Pm1 0.7500 0.7500 0.7500
Sc1 0.0000 0.0000 0.0000
Tb1 0.2500 0.2500 0.2500
```

Output
density of states at the Fermi level	1.594	states/eV/atom
space group	F-43m
crystal system	cubic
M_tot	0.0	μB/f.u.

The data favor w; the next most stable structure lies 1.6 kJ/mol of atoms above it.